# 1
Density functional theory data (PBE-GGA) for a relaxed PmHg4Au crystal.

abc: 8.667 8.667 7.122
angles: 90.00 90.00 146.08
Fractional coordinates of all 12 atoms:
1 Pm 0.173 0.827 0.500
2 Pm 0.827 0.173 0.000
3 Hg 0.007 0.993 0.799
4 Hg 0.193 0.807 0.962
5 Hg 0.358 0.642 0.681
6 Hg 0.467 0.533 0.036
7 Hg 0.533 0.467 0.536
8 Hg 0.642 0.358 0.181
9 Hg 0.807 0.193 0.462
10 Hg 0.993 0.007 0.299
11 Au 0.321 0.679 0.254
12 Au 0.679 0.321 0.754

Calculated values
As for the density of states at the Fermi level: 2.92 states/eV/f.u. The value obtained for the calculated total energy is -1.827 eV/atom.

=====

# 2
Density functional theory data (PBE-GGA) for a relaxed Zr2TaW crystal.

abc: 3.010 4.620 5.821
angles: 90.00 102.46 90.00
Fractional coordinates of all 4 atoms:
1 Zr 0.000 0.000 0.000
2 Zr 0.298 0.500 0.724
3 Ta 0.706 0.500 0.262
4 W 0.513 0.000 0.478

Calculated values
As for the density of states at the Fermi level: 5.47 states/eV/f.u. The value obtained for the calculated total energy is -10.346 eV/atom.

=====

# 3
Density functional theory data (PBE-GGA) for a relaxed InOs2PbAu crystal.

abc: 5.015 5.015 5.432
angles: 90.00 90.00 90.00
Fractional coordinates of all 5 atoms:
1 In 0.000 0.000 0.000
2 Os 0.000 0.500 0.500
3 Os 0.500 0.000 0.500
4 Pb 0.500 0.500 0.000
5 Au 0.500 0.500 0.500

Calculated values
As for the density of states at the Fermi level: 5.37 states/eV/f.u. The value obtained for the calculated total energy is -4.432 eV/atom.

=====

# 4
Density functional theory data (PBE-GGA) for a relaxed Pd2Se4I3 crystal.

abc: 3.859 6.266 11.594
angles: 79.96 80.63 72.15
Fractional coordinates of all 9 atoms:
1 Pd 0.119 0.002 0.257
2 Pd 0.881 0.998 0.743
3 Se 0.345 0.935 0.882
4 Se 0.376 0.135 0.614
5 Se 0.624 0.865 0.386
6 Se 0.655 0.065 0.118
7 I 0.137 0.563 0.666
8 I 0.500 0.500 0.000
9 I 0.863 0.437 0.334

Calculated values
As for the density of states at the Fermi level: 4.54 states/eV/f.u. The calculation puts the formation energy from raw total energies at -0.08 eV/atom.

=====

# 5
Density functional theory data (PBE-GGA) for a relaxed Y12HoSc5 crystal.

abc: 6.072 6.072 16.992
angles: 93.42 93.42 119.98
Fractional coordinates of all 18 atoms:
1 Y 0.055 0.392 0.164
2 Y 0.113 0.113 0.338
3 Y 0.220 0.554 0.661
4 Y 0.282 0.282 0.835
5 Y 0.392 0.055 0.164
6 Y 0.446 0.780 0.339
7 Y 0.554 0.220 0.661
8 Y 0.608 0.945 0.836
9 Y 0.718 0.718 0.165
10 Y 0.780 0.446 0.339
11 Y 0.887 0.887 0.662
12 Y 0.945 0.608 0.836
13 Ho 0.000 0.000 0.000
14 Sc 0.166 0.834 0.500
15 Sc 0.333 0.667 0.000
16 Sc 0.500 0.500 0.500
17 Sc 0.667 0.333 0.000
18 Sc 0.834 0.166 0.500

Calculated values
As for the density of states at the Fermi level: 26.50 states/eV/f.u. The value obtained for the calculated total energy is -6.277 eV/atom.

=====

# 6
Density functional theory data (PBE-GGA) for a relaxed Nd5Er4Sc3 crystal.

abc: 8.899 8.899 11.220
angles: 125.62 125.62 34.16
Fractional coordinates of all 12 atoms:
1 Nd 0.000 0.000 0.000
2 Nd 0.027 0.027 0.763
3 Nd 0.133 0.133 0.611
4 Nd 0.867 0.867 0.389
5 Nd 0.973 0.973 0.237
6 Er 0.314 0.314 0.011
7 Er 0.336 0.336 0.618
8 Er 0.664 0.664 0.382
9 Er 0.686 0.686 0.989
10 Sc 0.217 0.217 0.224
11 Sc 0.500 0.500 0.000
12 Sc 0.783 0.783 0.776

Calculated values
As for the density of states at the Fermi level: 16.08 states/eV/f.u. The value obtained for the calculated total energy is -4.695 eV/atom.

=====

# 7
Density functional theory data (PBE-GGA) for a relaxed CeEuTm2 crystal.

abc: 5.036 5.036 5.062
angles: 90.00 90.00 90.00
Fractional coordinates of all 4 atoms:
1 Ce 0.000 0.000 0.000
2 Eu 0.500 0.500 0.000
3 Tm 0.000 0.500 0.500
4 Tm 0.500 0.000 0.500

Calculated values
As for the density of states at the Fermi level: 8.17 states/eV/f.u. The value obtained for the calculated total energy is -6.129 eV/atom.

=====

# 8
Density functional theory data (PBE-GGA) for a relaxed NaTiIn crystal.

abc: 4.803 4.803 4.803
angles: 60.00 60.00 60.00
Fractional coordinates of all 3 atoms:
1 Na 0.000 0.000 0.000
2 Ti 0.500 0.500 0.500
3 In 0.250 0.250 0.250

Calculated values
As for the density of states at the Fermi level: 0.33 states/eV/f.u. The value obtained for the calculated total energy is -3.381 eV/atom.

=====

Q: Which formula does entry 6 have?
A: Nd5Er4Sc3